DFT (PBE) results for crystalline Zr2SiS at its relaxed geometry.

Summary:
- crystal system = trigonal
- ΔE_f (raw) (eV/atom) = -1.079
- uncorrected energy (eV for the cell shown) = -31.0

a = 3.678 Å, b = 3.678 Å, c = 6.911 Å
α = 74.57°, β = 74.57°, γ = 60.00°
Atoms (fractional coordinates):
Zr (0.256, 0.256, 0.233)
Si (0.667, 0.667, 0.998)
Zr (0.078, 0.078, 0.765)
S (0.499, 0.499, 0.503)